(1)
# Hf3MnRu2

A relaxed Hf3MnRu2 crystal (PBE, Alexandria).

Summary:
The value obtained for the raw total energy is -0.7496 Ry per atom. The volume comes out at 99.79 Å³/cell. As for the calculated density: 13.19 Mg/m³. The value obtained for the calculated formation energy is -3.61 eV per formula unit. The crystal system is tetragonal.

abc: 3.2132 3.2132 9.6655
angles: 90.00 90.00 90.00
Last column: nearest neighbours and their distance in Å.
Positions (direct):
Ru  0.5000  0.5000  0.8331  8 Hf 2.79-2.82
Ru  0.5000  0.5000  0.1669  8 Hf 2.79-2.82
Hf  0.0000  0.0000  0.6606  4 Mn 2.75, 4 Ru 2.82
Hf  0.0000  0.0000  0.3394  4 Mn 2.75, 4 Ru 2.82
Hf  0.0000  0.0000  0.0000  8 Ru 2.79
Mn  0.5000  0.5000  0.5000  8 Hf 2.75

(2)
# Tl2RuBr6

A relaxed Tl2RuBr6 crystal (PBE, Alexandria).

Summary:
The value obtained for the raw total energy is -0.2360 Ry per atom. The volume comes out at 586.02 Å³/cell. As for the calculated density: 5.61 Mg/m³. The calculation puts the uncorrected formation energy at -0.54 eV per atom. The crystal system is monoclinic. The energy above the most stable polymorph in this dataset comes out at 0 meV per atom.

abc: 7.3770 7.6606 10.3698
angles: 90.00 90.28 90.00
Last column: nearest neighbours and their distance in Å.
Positions (direct):
Ru  0.0000  0.0000  0.5000  6 Br 2.51
Ru  0.5000  0.5000  0.0000  6 Br 2.51
Br  0.3079  0.7671  0.0297  1 Ru 2.51
Br  0.5635  0.4949  0.2376  1 Ru 2.51
Br  0.7726  0.6905  0.9662  1 Ru 2.51
Br  0.1921  0.2671  0.4703  1 Ru 2.51
Br  0.2726  0.8095  0.4662  1 Ru 2.51
Br  0.6921  0.2329  0.9703  1 Ru 2.51
Br  0.8079  0.7329  0.5297  1 Ru 2.51
Br  0.0635  0.0051  0.7376  1 Ru 2.51
Br  0.2274  0.3095  0.0338  1 Ru 2.51
Br  0.7274  0.1905  0.5338  1 Ru 2.51
Br  0.4365  0.5051  0.7624  1 Ru 2.51
Br  0.9365  0.9949  0.2624  1 Ru 2.51
Tl  0.4853  0.0675  0.2517  8 Br 3.33-3.55
Tl  0.5147  0.9325  0.7483  8 Br 3.33-3.55
Tl  0.9853  0.4325  0.7517  8 Br 3.33-3.55
Tl  0.0147  0.5675  0.2483  8 Br 3.33-3.55

(3)
# Br3Cl

A relaxed Br3Cl crystal (PBE, Alexandria).

Summary:
The value obtained for the raw total energy is -0.1221 Ry per atom. The volume comes out at 175.75 Å³/cell. As for the calculated density: 2.60 Mg/m³. The calculation puts the uncorrected formation energy at 0.05 eV per atom. The crystal system is triclinic.

abc: 5.9489 8.2913 6.3454
angles: 145.38 96.25 81.41
Last column: nearest neighbours and their distance in Å.
Positions (direct):
Br  0.5433  0.4829  0.0169  1 Br 2.40
Br  0.8816  0.2558  0.6434  1 Br 2.40
Br  0.0496  0.9906  0.0239  1 Cl 2.28
Cl  0.3589  0.7707  0.6495  1 Br 2.28

(4)
# LaEuHoAl

A relaxed LaEuHoAl crystal (PBE, Alexandria).

Summary:
The value obtained for the raw total energy is -0.4356 Ry per atom. The volume comes out at 117.76 Å³/cell. As for the calculated density: 6.81 Mg/m³. The value obtained for the calculated formation energy is -0.18 eV per formula unit. The crystal system is cubic.

abc: 5.5018 5.5018 5.5018
angles: 60.00 60.00 60.00
Last column: nearest neighbours and their distance in Å.
Positions (direct):
La  0.2500  0.2500  0.2500  4 Al 3.37, 4 Eu 3.37
Ho  0.7500  0.7500  0.7500  4 Al 3.37, 4 Eu 3.37
Eu  0.5000  0.5000  0.5000  4 Ho 3.37, 4 La 3.37
Al  0.0000  0.0000  0.0000  4 Ho 3.37, 4 La 3.37

(5)
# Ba2AgP

A relaxed Ba2AgP crystal (PBE, Alexandria).

Summary:
The value obtained for the raw total energy is -0.2702 Ry per atom. The volume comes out at 157.31 Å³/cell. As for the calculated density: 4.36 Mg/m³. The value obtained for the calculated formation energy is -2.60 eV per formula unit. The crystal system is trigonal.

abc: 4.6854 4.6854 8.7052
angles: 74.39 74.39 60.00
Last column: nearest neighbours and their distance in Å.
Positions (direct):
Ba  0.0683  0.0683  0.7952  3 P 3.20
Ba  0.2647  0.2647  0.2060  3 P 3.19
P  0.6658  0.6658  0.0026  6 Ba 3.19-3.20
Ag  0.5012  0.5012  0.4963  6 Ba 3.62-3.67

(6)
# CaLuGaAg

A relaxed CaLuGaAg crystal (PBE, Alexandria).

Summary:
The value obtained for the raw total energy is -0.2571 Ry per atom. The volume comes out at 93.22 Å³/cell. As for the calculated density: 6.99 Mg/m³. The value obtained for the calculated formation energy is -1.59 eV per formula unit. The crystal system is cubic.

abc: 5.0895 5.0895 5.0895
angles: 60.00 60.00 60.00
Last column: nearest neighbours and their distance in Å.
Positions (direct):
Ag  0.2500  0.2500  0.2500  4 Lu 3.12, 4 Ca 3.12
Lu  0.0000  0.0000  0.0000  4 Ga 3.12, 4 Ag 3.12
Ga  0.7500  0.7500  0.7500  4 Lu 3.12, 4 Ca 3.12
Ca  0.5000  0.5000  0.5000  4 Ag 3.12, 4 Ga 3.12

(7)
# La5Tb5Sc2

A relaxed La5Tb5Sc2 crystal (PBE, Alexandria).

Summary:
The value obtained for the raw total energy is -0.3667 Ry per atom. The volume comes out at 391.44 Å³/cell. As for the calculated density: 6.70 Mg/m³. The value obtained for the calculated formation energy is 0.57 eV per formula unit. The crystal system is monoclinic.

abc: 5.0166 8.0768 10.7693
angles: 72.81 76.53 71.91
Last column: nearest neighbours and their distance in Å.
Positions (direct):
La  0.6661  0.6686  0.9992  4 La 3.57-3.64, 5 Tb 3.57-3.62, 3 Sc 3.58-3.59
La  0.4198  0.9094  0.2509  2 Sc 3.56, 3 La 3.57-3.64, 7 Tb 3.58-3.66
La  0.5000  0.5000  0.5000  6 Tb 3.53-3.58, 4 Sc 3.56, 2 La 3.57
La  0.5802  0.0906  0.7491  2 Sc 3.56, 3 La 3.57-3.64, 7 Tb 3.58-3.66
La  0.3339  0.3314  0.0008  4 La 3.57-3.64, 5 Tb 3.57-3.62, 3 Sc 3.58-3.59
Tb  0.8331  0.8321  0.5016  5 Tb 3.53-3.64, 2 Sc 3.57-3.62, 5 La 3.58-3.62
Tb  0.1669  0.1679  0.4984  5 Tb 3.53-3.64, 2 Sc 3.57-3.62, 5 La 3.58-3.62
Tb  0.2551  0.7439  0.7460  2 Sc 3.53, 4 Tb 3.53-3.67, 6 La 3.53-3.66
Tb  0.7449  0.2561  0.2540  2 Sc 3.53, 4 Tb 3.53-3.67, 6 La 3.53-3.66
Tb  0.0000  0.0000  0.0000  8 La 3.57-3.58, 2 Sc 3.63, 2 Tb 3.67
Sc  0.9153  0.4201  0.7492  5 Tb 3.53-3.63, 7 La 3.56-3.59
Sc  0.0847  0.5799  0.2508  5 Tb 3.53-3.63, 7 La 3.56-3.59

(8)
# LiMg

A relaxed LiMg crystal (PBE, Alexandria).

Summary:
The value obtained for the raw total energy is -0.1252 Ry per atom. The volume comes out at 177.90 Å³/cell. As for the calculated density: 1.17 Mg/m³. The value obtained for the calculated formation energy is 0.10 eV per formula unit. The crystal system is hexagonal.

abc: 4.8088 4.8088 8.8830
angles: 90.00 90.00 120.00
Last column: nearest neighbours and their distance in Å.
Positions (direct):
Mg  0.6667  0.3333  0.9203  7 Li 2.93-3.16, 4 Mg 3.03-3.12
Mg  0.3333  0.6667  0.0797  7 Li 2.93-3.16, 4 Mg 3.03-3.12
Mg  0.3333  0.6667  0.4203  7 Li 2.93-3.16, 4 Mg 3.03-3.12
Mg  0.6667  0.3333  0.5797  7 Li 2.93-3.16, 4 Mg 3.03-3.12
Li  0.6667  0.3333  0.2500  3 Li 2.78, 2 Mg 2.93
Li  0.0000  0.0000  0.7500  3 Li 2.78
Li  0.3333  0.6667  0.7500  3 Li 2.78, 2 Mg 2.93
Li  0.0000  0.0000  0.2500  3 Li 2.78

(9)
# Ta2NbIr5Pt

A relaxed Ta2NbIr5Pt crystal (PBE, Alexandria).

Summary:
The value obtained for the raw total energy is -0.6726 Ry per atom. The volume comes out at 310.19 Å³/cell. As for the calculated density: 17.25 Mg/m³. The value obtained for the calculated formation energy is 1.76 eV per formula unit. The crystal system is tetragonal.

abc: 7.4895 7.4895 7.6568
angles: 119.28 119.28 90.00
Last column: nearest neighbours and their distance in Å.
Positions (direct):
Pt  0.2500  0.7500  0.5000  4 Ir 2.53
Pt  0.7500  0.2500  0.5000  4 Ir 2.53
Ta  0.8819  0.6181  0.0000  2 Ir 2.38, 1 Ta 2.50
Ta  0.3819  0.8819  0.0000  2 Ir 2.38, 1 Ta 2.50
Ta  0.6181  0.1181  0.0000  2 Ir 2.38, 1 Ta 2.50
Ta  0.1181  0.3819  0.0000  2 Ir 2.38, 1 Ta 2.50
Ir  0.3387  0.8387  0.2661  1 Ta 2.38, 1 Pt 2.53
Ir  0.6613  0.1613  0.7339  1 Ta 2.38, 1 Pt 2.53
Ir  0.5000  0.5000  0.0000  2 Nb 2.76, 4 Ta 2.99, 8 Ir 3.07
Ir  0.4273  0.3387  0.2661  1 Ta 2.38, 1 Pt 2.53
Ir  0.0727  0.5727  0.7339  1 Ta 2.38, 1 Pt 2.53
Ir  0.8387  0.9273  0.2661  1 Ta 2.38, 1 Pt 2.53
Ir  0.5727  0.6613  0.7339  1 Ta 2.38, 1 Pt 2.53
Ir  0.9273  0.4273  0.2661  1 Ta 2.38, 1 Pt 2.53
Ir  0.0000  0.0000  0.0000  2 Nb 2.76, 4 Ta 2.99, 8 Ir 3.07
Ir  0.1613  0.0727  0.7339  1 Ta 2.38, 1 Pt 2.53
Nb  0.2500  0.2500  0.5000  10 Ir 2.76-2.98
Nb  0.7500  0.7500  0.5000  10 Ir 2.76-2.98

(10)
# Nd2EuHo

A relaxed Nd2EuHo crystal (PBE, Alexandria).

Summary:
The value obtained for the raw total energy is -0.4390 Ry per atom. The volume comes out at 140.64 Å³/cell. As for the calculated density: 7.15 Mg/m³. The value obtained for the calculated formation energy is 0.50 eV per formula unit. The crystal system is tetragonal. The energy above the most stable polymorph in this dataset comes out at 88 meV per atom.

abc: 3.8594 6.0366 6.0366
angles: 90.00 90.00 90.00
Last column: nearest neighbours and their distance in Å.
Positions (direct):
Ho  0.5000  0.0000  0.0000  8 Nd 3.58, 2 Ho 3.86
Nd  0.0000  0.0000  0.5000  4 Eu 3.58, 4 Ho 3.58, 2 Nd 3.86
Nd  0.0000  0.5000  0.0000  4 Eu 3.58, 4 Ho 3.58, 2 Nd 3.86
Eu  0.5000  0.5000  0.5000  8 Nd 3.58, 2 Eu 3.86

(11)
# NaTlPd2F8

A relaxed NaTlPd2F8 crystal (PBE, Alexandria).

Summary:
The value obtained for the raw total energy is -0.2899 Ry per atom. The volume comes out at 160.03 Å³/cell. As for the calculated density: 6.14 Mg/m³. The calculation puts the uncorrected formation energy at -1.52 eV per atom. The crystal system is tetragonal.

abc: 5.3978 5.3978 6.6886
angles: 113.80 113.80 90.00
Last column: nearest neighbours and their distance in Å.
Positions (direct):
F  0.8776  0.8652  0.2424  1 Tl 2.33, 2 Pd 2.33-2.34, 1 Na 2.41
F  0.3649  0.8658  0.2424  1 Tl 2.32, 2 Pd 2.33-2.34, 1 Na 2.41
F  0.1342  0.1224  0.7576  1 Tl 2.32, 2 Pd 2.33-2.34, 1 Na 2.41
F  0.6227  0.1224  0.7576  1 Tl 2.33, 2 Pd 2.33-2.34, 1 Na 2.41
F  0.1348  0.6351  0.7576  1 Tl 2.33, 2 Pd 2.33-2.34, 1 Na 2.41
F  0.3649  0.3773  0.2424  1 Tl 2.33, 2 Pd 2.33-2.34, 1 Na 2.41
F  0.8776  0.3766  0.2424  1 Tl 2.32, 2 Pd 2.33-2.34, 1 Na 2.41
F  0.6234  0.6351  0.7576  1 Tl 2.32, 2 Pd 2.33-2.34, 1 Na 2.41
Pd  0.2500  0.7500  0.5000  8 F 2.34
Pd  0.5000  0.5000  0.0000  8 F 2.33
Tl  0.0000  0.0000  0.0000  8 F 2.32-2.33
Na  0.7500  0.2500  0.5000  8 F 2.41

(12)
# TlSn3Hg

A relaxed TlSn3Hg crystal (PBE, Alexandria).

Summary:
The value obtained for the raw total energy is -0.1818 Ry per atom. The volume comes out at 179.34 Å³/cell. As for the calculated density: 7.05 Mg/m³. The value obtained for the calculated formation energy is 2.31 eV per formula unit. The crystal system is cubic. The energy above the most stable polymorph in this dataset comes out at 425 meV per atom.

abc: 5.6393 5.6393 5.6393
angles: 90.00 90.00 90.00
Last column: nearest neighbours and their distance in Å.
Positions (direct):
Sn  0.0000  0.0000  0.5000  2 Hg 2.82
Sn  0.0000  0.5000  0.0000  2 Hg 2.82
Sn  0.5000  0.0000  0.0000  2 Hg 2.82
Tl  0.5000  0.5000  0.5000  12 Sn 3.99
Hg  0.0000  0.0000  0.0000  6 Sn 2.82

(13)
# RbTiS

A relaxed RbTiS crystal (PBE, Alexandria).

Summary:
The value obtained for the raw total energy is -0.3837 Ry per atom. The volume comes out at 178.21 Å³/cell. As for the calculated density: 3.08 Mg/m³. The calculation puts the uncorrected formation energy at -0.89 eV per atom. The crystal system is tetragonal.

abc: 3.9383 3.9383 11.4898
angles: 90.00 90.00 90.00
Last column: nearest neighbours and their distance in Å.
Positions (direct):
Ti  0.0000  0.0000  0.5000  4 S 2.49, 4 Ti 2.78
Ti  0.5000  0.5000  0.5000  4 S 2.49, 4 Ti 2.78
Rb  0.0000  0.5000  0.7987  4 S 3.38
Rb  0.5000  0.0000  0.2013  4 S 3.38
S  0.0000  0.5000  0.3678  4 Ti 2.49
S  0.5000  0.0000  0.6322  4 Ti 2.49